Entry 1:
DFT (PBE) results for LuCoNiSn after structural relaxation. Values from VASP.

The structure in Quantum ESPRESSO input format:
```
&SYSTEM
  ibrav = 0, nat = 4, ntyp = 4
/
ATOMIC_SPECIES
Co 58.93 Co.upf
Lu 174.97 Lu.upf
Ni 58.69 Ni.upf
Sn 118.71 Sn.upf
ATOMIC_POSITIONS angstrom
Co 3.255 3.255 3.255
Lu 1.628 1.628 1.628
Ni 4.883 4.883 4.883
Sn 0.000 0.000 0.000
CELL_PARAMETERS angstrom
0.000 3.255 3.255
3.255 0.000 3.255
3.255 3.255 0.000
```

Total DFT energy (no corrections) (eV/cell): -21.2
SG: F-43m, No. 216
Offset from the most stable computed form (eV per atom): 0.405
Total moment (μB/cell): 1.6
Mass density (g/cm³): 9.90

Entry 2:
DFT (PBE) results for AlMoPd2 after structural relaxation. Values from VASP.

The structure in Quantum ESPRESSO input format:
```
&SYSTEM
  ibrav = 0, nat = 4, ntyp = 3
/
ATOMIC_SPECIES
Al 26.98 Al.upf
Mo 95.94 Mo.upf
Pd 106.42 Pd.upf
ATOMIC_POSITIONS angstrom
Al 0.000 0.000 3.613
Mo 0.000 0.000 0.000
Pd 1.424 1.424 1.989
Pd 1.424 1.424 5.237
CELL_PARAMETERS angstrom
2.848 0.000 0.000
0.000 2.848 0.000
0.000 0.000 7.225
```

Total DFT energy (no corrections) (eV/cell): -26.6
SG: P4/mmm, No. 123
Total moment (μB/cell): 0.0
Mass density (g/cm³): 9.51

Entry 3:
DFT (PBE) results for ZrBeZnNi after structural relaxation. Values from VASP.

The structure in Quantum ESPRESSO input format:
```
&SYSTEM
  ibrav = 0, nat = 4, ntyp = 4
/
ATOMIC_SPECIES
Be 9.01 Be.upf
Ni 58.69 Ni.upf
Zn 65.41 Zn.upf
Zr 91.22 Zr.upf
ATOMIC_POSITIONS angstrom
Be -2.408 -0.838 0.606
Ni -7.225 -2.515 1.817
Zn 0.000 0.000 0.000
Zr -4.816 -1.677 1.212
CELL_PARAMETERS angstrom
-2.865 -3.125 -0.592
-2.595 -1.159 3.200
-4.174 0.930 -0.185
```

Total DFT energy (no corrections) (eV/cell): -20.2
SG: F-43m, No. 216
Offset from the most stable computed form (eV per atom): 0.000
Total moment (μB/cell): 0.0
Mass density (g/cm³): 6.72

> total DFT energy (no corrections) of number 1 (LuCoNiSn)?

-21.2 eV/cell

> The lowest mass density belongs to which entry?

ZrBeZnNi

> What is the formula in the third record?

ZrBeZnNi